# 1
VASP calculation (PBE) on a relaxed VCdIn2Fe crystal.

Cell and atoms, written as POSCAR:
```
VCdIn2Fe
1.0
5.2262 0.0000 0.0000
0.0000 5.2454 0.0000
0.0000 0.0000 5.2262
V Cd Fe In
1 1 1 2
Cartesian
0.0000 0.0000 0.0000
0.0000 2.6227 0.0000
2.6131 2.6227 2.6131
0.0000 0.0000 2.6131
2.6131 0.0000 0.0000
```

Calculated values
The total magnetization comes out at 0.21 Bohr magnetons per cell. As for the total energy: -3.614 eV per atom. For the density of states at the Fermi level, the calculation gives 3.901 states/eV per atom.

# 2
VASP calculation (PBE) on a relaxed PaTlTe3Au crystal.

Cell and atoms, written as POSCAR:
```
PaTlTe3Au
1.0
4.3463 0.0000 0.0000
0.0000 9.5553 -0.4700
0.0000 -2.9705 9.8089
Pa Tl Te Au
2 2 6 2
Cartesian
1.0866 6.0551 1.3071
3.2597 0.5297 8.0318
1.0866 1.2315 2.3097
3.2597 5.3533 7.0293
3.2597 8.2002 0.8074
1.0866 -1.6154 8.5316
1.0866 5.8529 4.3216
3.2597 0.7319 5.0174
3.2597 3.8300 1.3309
1.0866 2.7548 8.0081
1.0866 -0.9010 5.8423
3.2597 7.4857 3.4967
```

Calculated values
The total magnetization comes out at 2.02 Bohr magnetons per cell. Its uncorrected formation energy is -0.548 eV/atom. For the density of states at the Fermi level, the calculation gives 0.866 states/eV per atom.

# 3
VASP calculation (PBE) on a relaxed Co2PdAu crystal.

Cell and atoms, written as POSCAR:
```
Co2PdAu
1.0
6.8732 0.0000 0.0000
0.0000 6.8732 0.0000
3.4366 3.4366 2.6262
Co Au Pd
4 2 2
Cartesian
5.0925 1.7183 0.6565
1.7807 5.1549 0.6565
5.1549 5.2173 1.9696
8.5915 8.5291 1.9696
0.0000 0.0000 0.0000
6.8732 3.4366 1.3131
3.4366 3.4366 0.0000
3.4366 6.8732 1.3131
```

Calculated values
The total magnetization comes out at 8.63 Bohr magnetons per cell. As for the total energy: -5.114 eV per atom. For the density of states at the Fermi level, the calculation gives 1.856 states/eV per atom.

# 4
VASP calculation (PBE) on a relaxed LiUGa2 crystal.

Cell and atoms, written as POSCAR:
```
LiUGa2
1.0
-2.6587 0.0822 0.7048
1.2203 -1.7701 4.8096
0.5971 4.9595 1.6738
U Ga Li
1 2 1
Cartesian
-0.4207 1.6358 3.5941
0.2985 2.4797 0.8369
0.6102 -0.8851 2.4048
-1.3294 0.0411 0.3524
```

Calculated values
The total magnetization comes out at 1.59 Bohr magnetons per cell. As for the total energy: -4.984 eV per atom. For the density of states at the Fermi level, the calculation gives 1.013 states/eV per atom.

# 5
VASP calculation (PBE) on a relaxed Cd2CuTcO6 crystal.

Cell and atoms, written as POSCAR:
```
Cd2CuTcO6
1.0
4.9649 0.0000 0.0000
0.0000 5.1827 0.0000
0.0000 0.0000 5.1827
Cd Cu Tc O
2 1 1 6
Cartesian
0.1292 2.5914 0.0000
0.1292 0.0000 2.5914
2.7470 2.5914 2.5914
2.9591 0.0000 0.0000
3.5284 1.2570 1.2570
3.5284 1.2570 3.9257
0.8542 2.5914 2.5914
1.1455 0.0000 0.0000
3.5284 3.9257 3.9257
3.5284 3.9257 1.2570
```

Calculated values
The total magnetization comes out at 0.34 Bohr magnetons per cell. Its uncorrected formation energy is -0.848 eV/atom. For the density of states at the Fermi level, the calculation gives 0.374 states/eV per atom.

# 6
VASP calculation (PBE) on a relaxed EuInPtAu crystal.

Cell and atoms, written as POSCAR:
```
EuInPtAu
1.0
-0.3132 -1.4787 -4.7459
3.0484 -3.5488 -1.7091
-1.7979 -4.5157 -1.0880
Eu Au Pt In
1 1 1 1
Cartesian
0.2343 -2.3858 -1.8857
0.4686 -4.7716 -3.7715
0.0000 0.0000 0.0000
0.7030 -7.1574 -5.6572
```

Calculated values
The total magnetization comes out at 6.88 Bohr magnetons per cell. As for the total energy: -6.184 eV per atom. For the density of states at the Fermi level, the calculation gives 2.683 states/eV per atom.

# 7
VASP calculation (PBE) on a relaxed SrLa2P2 crystal.

Cell and atoms, written as POSCAR:
```
SrLa2P2
1.0
5.4572 0.0000 0.0000
0.0000 5.4572 0.0000
2.7286 2.7286 5.8533
Sr P La
1 2 2
Cartesian
0.0000 0.0000 0.0000
5.4572 2.7286 2.9267
2.7286 5.4572 2.9267
2.7286 2.7286 2.0802
5.4572 5.4572 3.7732
```

Calculated values
The total magnetization comes out at 0.00 Bohr magnetons per cell. As for the total energy: -5.369 eV per atom. For the density of states at the Fermi level, the calculation gives 0.157 states/eV per atom.

# 8
VASP calculation (PBE) on a relaxed SrMg3Mn crystal.

Cell and atoms, written as POSCAR:
```
SrMg3Mn
1.0
5.2008 0.0000 0.0000
0.0000 5.2008 0.0000
0.0000 0.0000 5.2008
Sr Mg Mn
1 3 1
Cartesian
2.6004 2.6004 2.6004
0.0000 2.6004 0.0000
0.0000 0.0000 2.6004
2.6004 0.0000 0.0000
0.0000 0.0000 0.0000
```

Calculated values
The total magnetization comes out at 2.81 Bohr magnetons per cell. As for the total energy: -2.827 eV per atom. For the density of states at the Fermi level, the calculation gives 0.810 states/eV per atom.

- Which of these has the lowest total magnetization?
  SrLa2P2